[1]
SrAg2P | PBE-GGA | relaxed

```
SrAg2P
1.0
2.263 1.307 5.327
-2.263 1.307 5.327
0.000 -2.613 5.327
Sr Ag P
1 2 1
Direct
0.000 0.000 0.000 Sr
0.209 0.209 0.209 Ag
0.791 0.791 0.791 Ag
0.500 0.500 0.500 P
```

Properties
ΔH_f (0 K): -0.62 eV/f.u.
ρ: 5.9 g/cm³
N(E_F): 2.27 states/eV per cell
final energy: -3.354 eV per atom
total magnetization: 0.00 μB per cell

---

[2]
SrAgP | PBE-GGA | relaxed

```
SrAgP
1.0
5.173 0.000 0.000
-2.586 4.480 0.000
0.000 0.000 6.147
Sr Ag P
2 2 2
Direct
0.333 0.667 0.250 Sr
0.667 0.333 0.750 Sr
0.000 0.000 0.000 Ag
0.000 0.000 0.500 Ag
0.333 0.667 0.750 P
0.667 0.333 0.250 P
```

Properties
ΔH_f (0 K): -1.22 eV/f.u.
ρ: 5.3 g/cm³
N(E_F): 0.07 states/eV per cell
final energy: -3.721 eV per atom
total magnetization: 0.00 μB per cell

---

[3]
Sr3AgP | PBE-GGA | relaxed

```
Sr3AgP
1.0
5.841 0.000 0.000
0.000 5.841 0.000
0.000 0.000 5.841
Sr Ag P
3 1 1
Direct
0.000 0.000 0.500 Sr
0.000 0.500 0.000 Sr
0.500 0.000 0.000 Sr
0.500 0.500 0.500 Ag
0.000 0.000 0.000 P
```

Properties
ΔH_f (0 K): -2.28 eV/f.u.
ρ: 3.3 g/cm³
N(E_F): 3.17 states/eV per cell
excess energy over the best structure of this formula in the dataset: 0.0000 eV per atom
final energy: -3.117 eV per atom
total magnetization: 0.00 μB per cell

---

Q: What is the formula in the second record?
A: SrAgP